Entry 1:
Density functional theory data (PBE-GGA) for a relaxed YZrSc2 crystal.

Results
**N(E_F)**: 6.2 states/eV/f.u.
**Crystal system**: tetragonal
**ΔE to the lowest computed polymorph**: 0.0122 eV per atom
**Space-group type**: P4/mmm, No. 123

Cell lengths 3.3046, 3.3066, 9.9647 Å; angles 109.34, 90.00, 90.00 degrees
Atoms (fractional coordinates):
Y1 0.5000 0.2500 0.7500
Zr1 0.5000 0.7500 0.2500
Sc1 0.0000 0.4791 0.4791
Sc2 0.0000 0.0209 0.0209

=====

Entry 2:
Density functional theory data (PBE-GGA) for a relaxed YZr2Sc8 crystal.

Results
**N(E_F)**: 13.1 states/eV/f.u.
**Crystal system**: monoclinic
**ΔE to the lowest computed polymorph**: 0.0064 eV per atom
**Space-group type**: C2/m, No. 12

Cell lengths 5.4145, 8.4532, 8.7369 Å; angles 61.07, 72.73, 52.14 degrees
Atoms (fractional coordinates):
Y1 0.5000 0.0000 0.0000
Sc1 0.2052 0.9031 0.7416
Sc2 0.2734 0.4610 0.0000
Sc3 0.2052 0.6447 0.2584
Sc4 0.5000 0.7926 0.4148
Sc5 0.7948 0.0969 0.2584
Sc6 0.7266 0.5390 0.0000
Zr1 0.0000 0.6909 0.6181
Sc7 0.7948 0.3553 0.7416
Sc8 0.5000 0.2074 0.5852
Zr2 0.0000 0.3091 0.3819

=====

Entry 3:
Density functional theory data (PBE-GGA) for a relaxed Y2ZrSc crystal.

Results
**N(E_F)**: 6.0 states/eV/f.u.
**Crystal system**: tetragonal
**ΔE to the lowest computed polymorph**: 0.0460 eV per atom
**Space-group type**: I-4m2, No. 119

Cell lengths 5.8521, 5.8521, 5.8521 Å; angles 131.68, 131.59, 70.80 degrees
Atoms (fractional coordinates):
Sc1 0.2501 0.7501 0.5000
Y1 0.7500 0.2500 0.5000
Y2 0.0001 0.0001 0.0000
Zr1 0.4997 0.4997 0.0000

=====

Entry 4:
Density functional theory data (PBE-GGA) for a relaxed Y2ZrSc crystal.

Results
**N(E_F)**: 6.1 states/eV/f.u.
**Crystal system**: tetragonal
**ΔE to the lowest computed polymorph**: 0.0213 eV per atom
**Space-group type**: P4mm, No. 99

Cell lengths 3.3781, 3.3781, 9.6668 Å; angles 90.00, 90.00, 90.00 degrees
Atoms (fractional coordinates):
Zr1 0.0000 0.0000 0.5127
Y1 0.0000 0.0000 0.9890
Y2 0.5000 0.5000 0.2692
Sc1 0.5000 0.5000 0.7290

=====

Entry 5:
Density functional theory data (PBE-GGA) for a relaxed Y2ZrSc crystal.

Results
**N(E_F)**: 5.9 states/eV/f.u.
**Crystal system**: tetragonal
**ΔE to the lowest computed polymorph**: 0.0494 eV per atom
**Space-group type**: P4/mmm, No. 123

Cell lengths 4.7598, 4.7950, 4.7950 Å; angles 90.00, 90.00, 90.00 degrees
Atoms (fractional coordinates):
Zr1 0.5000 0.0000 0.0000
Y1 0.0000 0.5000 0.0000
Sc1 0.5000 0.5000 0.5000
Y2 0.0000 0.0000 0.5000

=====

Entry 6:
Density functional theory data (PBE-GGA) for a relaxed YZrSc2 crystal.

Results
**N(E_F)**: 6.6 states/eV/f.u.
**Crystal system**: tetragonal
**ΔE to the lowest computed polymorph**: 0.1165 eV per atom
**Space-group type**: P4/mmm, No. 123

Cell lengths 5.4205, 5.4205, 3.4747 Å; angles 90.00, 90.00, 90.00 degrees
Atoms (fractional coordinates):
Zr1 0.0000 0.5000 0.5000
Sc1 0.0000 0.0000 0.0000
Y1 0.5000 0.0000 0.5000
Sc2 0.5000 0.5000 0.0000

=====

Entry 7:
Density functional theory data (PBE-GGA) for a relaxed Y4ZrSc6 crystal.

Results
**Total energy**: -6.46 eV per atom
**N(E_F)**: 15.2 states/eV/f.u.
**Crystal system**: tetragonal
**Space-group type**: P4/mnc, No. 128

Cell lengths 8.4693, 8.4693, 8.2645 Å; angles 90.00, 90.00, 90.00 degrees
Atoms (fractional coordinates):
Sc1 0.3489 0.8515 0.0000
Y1 0.3497 0.1503 0.7500
Sc2 0.6485 0.1511 0.5000
Sc3 0.1511 0.3515 0.5000
Y2 0.8497 0.3497 0.2500
Zr1 0.5000 0.5000 0.0000
Y3 0.1503 0.6503 0.2500
Y4 0.1503 0.6503 0.7500
Zr2 0.0000 0.0000 0.5000
Y5 0.8497 0.3497 0.7500
Sc4 0.0000 0.0000 0.1674
Sc5 0.5000 0.5000 0.6674
Sc6 0.5000 0.5000 0.3326
Sc7 0.6511 0.1485 0.0000
Sc8 0.0000 0.0000 0.8326
Sc9 0.3515 0.8489 0.5000
Y6 0.6503 0.8497 0.7500
Sc10 0.8515 0.6511 0.0000
Sc11 0.1485 0.3489 0.0000
Sc12 0.8489 0.6485 0.5000
Y7 0.6503 0.8497 0.2500
Y8 0.3497 0.1503 0.2500

=====

Entry 8:
Density functional theory data (PBE-GGA) for a relaxed YZrSc2 crystal.

Results
**N(E_F)**: 5.9 states/eV/f.u.
**Crystal system**: orthorhombic
**ΔE to the lowest computed polymorph**: 0.0378 eV per atom
**Space-group type**: Fmmm, No. 69

Cell lengths 5.6720, 5.6720, 5.6689 Å; angles 130.84, 130.79, 72.15 degrees
Atoms (fractional coordinates):
Sc1 0.0000 0.0000 0.0000
Zr1 0.2500 0.7500 0.5000
Y1 0.7500 0.2500 0.5000
Sc2 0.5000 0.5000 0.0000

=====

Entry 9:
Density functional theory data (PBE-GGA) for a relaxed Y2ZrSc crystal.

Results
**N(E_F)**: 6.6 states/eV/f.u.
**Crystal system**: orthorhombic
**ΔE to the lowest computed polymorph**: 0.0000 eV per atom
**Space-group type**: Amm2, No. 38

Cell lengths 5.2154, 3.3981, 6.5160 Å; angles 74.91, 90.00, 90.00 degrees
Atoms (fractional coordinates):
Y1 0.5000 0.2930 0.2880
Zr1 0.0000 0.6847 0.5052
Sc1 0.5000 0.5673 0.7413
Y2 0.0000 0.9550 0.9655

=====

Entry 10:
Density functional theory data (PBE-GGA) for a relaxed YZrSc2 crystal.

Results
**N(E_F)**: 6.5 states/eV/f.u.
**Crystal system**: tetragonal
**ΔE to the lowest computed polymorph**: 0.0454 eV per atom
**Space-group type**: P4/mmm, No. 123

Cell lengths 4.6972, 4.6961, 4.6248 Å; angles 90.00, 90.00, 90.00 degrees
Atoms (fractional coordinates):
Sc1 0.5000 0.5000 0.0000
Sc2 0.0000 0.0000 0.0000
Y1 0.5000 0.0000 0.5000
Zr1 0.0000 0.5000 0.5000

=====

Entry 11:
Density functional theory data (PBE-GGA) for a relaxed YZrSc4 crystal.

Results
**N(E_F)**: 10.9 states/eV/f.u.
**Crystal system**: monoclinic
**ΔE to the lowest computed polymorph**: 0.1077 eV per atom
**Space-group type**: C2/c, No. 15

Cell lengths 6.0134, 8.4402, 7.8241 Å; angles 112.99, 100.11, 112.77 degrees
Atoms (fractional coordinates):
Sc1 0.7493 0.7168 0.6221
Sc2 0.2507 0.2832 0.3779
Sc3 0.9684 0.8433 0.2622
Zr1 0.2465 0.9965 0.9930
Y1 0.6642 0.4142 0.8284
Sc4 0.3728 0.9053 0.6221
Sc5 0.6272 0.0947 0.3779
Sc6 0.0316 0.1567 0.7378
Zr2 0.7535 0.0035 0.0070
Sc7 0.7938 0.4189 0.2622
Sc8 0.2062 0.5811 0.7378
Y2 0.3358 0.5858 0.1716

=====

Entry 12:
Density functional theory data (PBE-GGA) for a relaxed YZrSc2 crystal.

Results
**N(E_F)**: 7.6 states/eV/f.u.
**Crystal system**: cubic
**ΔE to the lowest computed polymorph**: 0.1535 eV per atom
**Space-group type**: F-43m, No. 216

Cell lengths 5.2784, 5.2784, 5.2784 Å; angles 60.00, 60.00, 60.00 degrees
Atoms (fractional coordinates):
Y1 0.5000 0.5000 0.5000
Sc1 0.0000 0.0000 0.0000
Sc2 0.2500 0.2500 0.2500
Zr1 0.7500 0.7500 0.7500